## P
The following is a DFT calculation (PBE) of an optimized crystal structure of LiZrCd.

Total magnetization, μB per formula unit: 0.0

Cell: 4.456 4.456 4.456 Å, 60.00 60.00 60.00°
Fractional positions:
Li 0.750 0.750 0.750
Zr 0.000 0.000 0.000
Cd 0.500 0.500 0.500

## Q
The following is a DFT calculation (PBE) of an optimized crystal structure of LiZrCd.

Total magnetization, μB per formula unit: 0.0

Cell: 7.801 7.655 2.945 Å, 81.82 76.24 21.94°
Fractional positions:
Li 0.342 0.342 0.658
Cd 0.994 0.994 0.006
Zr 0.665 0.665 0.335

Most stable = Q

## P
The following is a DFT calculation (PBE) of an optimized crystal structure of LiZrCd.

Total magnetization, μB per formula unit: 0.0

Cell: 4.867 4.867 2.901 Å, 90.00 90.00 120.00°
Fractional positions:
Zr 0.333 0.667 0.667
Cd 0.000 0.000 0.168
Li 0.667 0.333 0.165

## Q
The following is a DFT calculation (PBE) of an optimized crystal structure of LiZrCd.

Total magnetization, μB per formula unit: 0.0

Cell: 4.716 4.716 4.716 Å, 60.00 60.00 60.00°
Fractional positions:
Cd 0.000 0.000 0.000
Li 0.500 0.500 0.500
Zr 0.750 0.750 0.750

Most stable = P

## P
The following is a DFT calculation (PBE) of an optimized crystal structure of LiZrCd.

Total magnetization, μB per formula unit: 0.0

Cell: 5.246 5.246 5.246 Å, 147.93 127.02 63.29°
Fractional positions:
Cd 0.001 0.001 0.000
Zr 0.663 0.663 0.000
Li 0.336 0.336 0.000

## Q
The following is a DFT calculation (PBE) of an optimized crystal structure of LiZrCd.

Total magnetization, μB per formula unit: 0.0

Cell: 3.158 3.158 12.215 Å, 90.00 90.00 90.00°
Fractional positions:
Li 0.500 0.000 0.073
Li 0.000 0.500 0.927
Cd 0.000 0.500 0.219
Cd 0.500 0.000 0.781
Zr 0.000 0.500 0.590
Zr 0.500 0.000 0.410

## R
The following is a DFT calculation (PBE) of an optimized crystal structure of LiZrCd.

Total magnetization, μB per formula unit: 0.0

Cell: 6.772 6.772 6.772 Å, 153.94 153.94 37.18°
Fractional positions:
Cd 0.988 0.988 0.000
Zr 0.666 0.666 0.000
Li 0.346 0.346 0.000

Most stable = Q